Entry 1:
This record from Alexandria via LeMat-Bulk describes a relaxed structure of Pr5SmDyTm2. The functional is PBE.

Unit cell a=10.655 b=10.655 c=10.793 alpha=90.00 beta=90.00 gamma=149.14
Fractional coordinates of all 18 atoms:
Pr1 0.015 0.985 0.500
Pr2 0.280 0.720 0.793
Pr3 0.296 0.704 0.186
Pr4 0.387 0.613 0.504
Pr5 0.482 0.518 0.224
Pr6 0.518 0.482 0.724
Pr7 0.613 0.387 0.004
Pr8 0.704 0.296 0.686
Pr9 0.720 0.280 0.293
Pr10 0.985 0.015 0.000
Sm1 0.199 0.801 0.492
Sm2 0.801 0.199 0.992
Dy1 0.409 0.591 0.942
Dy2 0.591 0.409 0.442
Tm1 0.111 0.889 0.222
Tm2 0.115 0.885 0.791
Tm3 0.885 0.115 0.291
Tm4 0.889 0.111 0.722

Calculated values
V	629	Å³/cell
energy of formation from the pure elements	1.31	eV per formula unit
energy	-4.54	eV per atom
ρ	7.2	Mg/m³

---

Entry 2:
This record from Alexandria via LeMat-Bulk describes a relaxed structure of PrSm4Dy2Tm. The functional is PBE.

Unit cell a=9.546 b=9.546 c=6.863 alpha=111.07 beta=111.07 gamma=88.39
Fractional coordinates of all 16 atoms:
Pr1 0.000 0.500 0.000
Pr2 0.500 0.000 0.500
Sm1 0.247 0.251 0.498
Sm2 0.247 0.752 0.499
Sm3 0.248 0.753 0.001
Sm4 0.251 0.247 0.998
Sm5 0.749 0.753 0.002
Sm6 0.752 0.247 0.999
Sm7 0.753 0.248 0.501
Sm8 0.753 0.749 0.502
Dy1 0.000 0.500 0.500
Dy2 0.500 0.000 0.000
Dy3 0.500 0.500 0.000
Dy4 0.500 0.500 0.500
Tm1 0.000 0.000 0.000
Tm2 0.000 0.000 0.500

Calculated values
V	541	Å³/cell
energy of formation from the pure elements	3.21	eV per formula unit
energy	-4.27	eV per atom
ρ	7.6	Mg/m³

---

Entry 3:
This record from Alexandria via LeMat-Bulk describes a relaxed structure of Pr6Sm2Dy3Tm. The functional is PBE.

Unit cell a=6.323 b=6.323 c=11.947 alpha=95.05 beta=95.05 gamma=120.01
Fractional coordinates of all 12 atoms:
Pr1 0.084 0.416 0.751
Pr2 0.249 0.249 0.249
Pr3 0.416 0.084 0.751
Pr4 0.584 0.916 0.249
Pr5 0.751 0.751 0.751
Pr6 0.916 0.584 0.249
Sm1 0.333 0.667 0.500
Sm2 0.667 0.333 0.500
Dy1 0.167 0.833 0.000
Dy2 0.500 0.500 0.000
Dy3 0.833 0.167 0.000
Tm1 0.000 0.000 0.500

Calculated values
V	407	Å³/cell
energy of formation from the pure elements	0.15	eV per formula unit
energy	-4.69	eV per atom
ρ	7.4	Mg/m³

---

Entry 4:
This record from Alexandria via LeMat-Bulk describes a relaxed structure of PrSmDyTm3. The functional is PBE.

Unit cell a=6.361 b=6.361 c=11.678 alpha=90.00 beta=90.00 gamma=125.40
Fractional coordinates of all 12 atoms:
Pr1 0.000 0.000 0.000
Pr2 0.000 0.000 0.500
Sm1 0.496 0.504 0.750
Sm2 0.504 0.496 0.250
Dy1 0.176 0.824 0.750
Dy2 0.824 0.176 0.250
Tm1 0.171 0.829 0.250
Tm2 0.328 0.672 0.004
Tm3 0.328 0.672 0.496
Tm4 0.672 0.328 0.504
Tm5 0.672 0.328 0.996
Tm6 0.829 0.171 0.750

Calculated values
V	385	Å³/cell
energy of formation from the pure elements	0.69	eV per formula unit
energy	-4.47	eV per atom
ρ	8.3	Mg/m³

---

Values for total magnetic moment, μB per cell, ordered as above
0.00 0.04 0.00 0.00